Material: Na2FeO2
Method: DFT, PBE+U
State: relaxed

Calculated values
- DOS at the Fermi energy: 0.0 states/eV/cell
- Symmetry: Cmc2_1 (36)
- Crystal system: orthorhombic
- Raw total energy: -4.8038 eV per atom

abc: 2.9227 5.3950 8.4886
angles: 90.00 90.00 105.72
Closest atoms and distances in Å follow each position.
Atoms (fractional coordinates):
O 0.0196 0.0391 0.9109  2 Fe 1.95
O 0.7771 0.5542 0.5915  2 Fe 1.96
O 0.9804 0.9609 0.4109  2 Fe 1.95
O 0.2229 0.4458 0.0915  2 Fe 1.96
Na 0.8909 0.7817 0.1537  4 O 2.34-2.46
Na 0.3572 0.7145 0.8316  3 O 2.33-2.61
Na 0.6428 0.2855 0.3316  3 O 2.33-2.61
Na 0.1091 0.2183 0.6537  4 O 2.34-2.46
Fe 0.3774 0.7549 0.4974  4 O 1.95-1.96
Fe 0.6226 0.2451 0.9974  4 O 1.95-1.96